1.
Density functional theory data (GGA-PBE) for an optimized crystal structure of BaLi2Cd2.

Properties
Its calculated density is 4.5 g cm⁻³. For the energy of formation from the pure elements, the calculation gives -0.097 eV/atom. Its space-group type is P4/mbm, No. 127.

Cell: 8.694 8.694 3.670 Å, 90.00 90.00 90.00°
Element x y z (fractional)
Ba: 0.000 0.000 0.000
Ba: 0.500 0.500 0.000
Li: 0.163 0.337 0.500
Li: 0.337 0.837 0.500
Li: 0.663 0.163 0.500
Li: 0.837 0.663 0.500
Cd: 0.121 0.621 0.000
Cd: 0.379 0.121 0.000
Cd: 0.621 0.879 0.000
Cd: 0.879 0.379 0.000



2.
Density functional theory data (GGA-PBE) for an optimized crystal structure of Ba2Li6Cd.

Properties
Its calculated density is 2.7 g cm⁻³. For the energy of formation from the pure elements, the calculation gives -0.044 eV/atom. Its space-group type is C2/m, No. 12.

Cell: 6.550 6.550 7.092 Å, 99.81 99.81 61.36°
Element x y z (fractional)
Ba: 0.154 0.154 0.368
Ba: 0.846 0.846 0.632
Li: 0.114 0.631 0.146
Li: 0.369 0.886 0.854
Li: 0.389 0.389 0.830
Li: 0.611 0.611 0.170
Li: 0.631 0.114 0.146
Li: 0.886 0.369 0.854
Cd: 0.500 0.500 0.500



3.
Density functional theory data (GGA-PBE) for an optimized crystal structure of BaLi2Cd.

Properties
Its calculated density is 3.8 g cm⁻³. For the energy of formation from the pure elements, the calculation gives -0.147 eV/atom. Its space-group type is R-3m, No. 166.

Cell: 10.689 10.689 10.689 Å, 34.51 34.51 34.51°
Element x y z (fractional)
Ba: 0.000 0.000 0.000
Ba: 0.145 0.145 0.145
Ba: 0.855 0.855 0.855
Li: 0.090 0.571 0.571
Li: 0.429 0.429 0.910
Li: 0.429 0.910 0.429
Li: 0.571 0.090 0.571
Li: 0.571 0.571 0.090
Li: 0.910 0.429 0.429
Cd: 0.331 0.331 0.331
Cd: 0.500 0.500 0.500
Cd: 0.669 0.669 0.669



4.
Density functional theory data (GGA-PBE) for an optimized crystal structure of BaLi4Cd4.

Properties
Its calculated density is 4.5 g cm⁻³. For the energy of formation from the pure elements, the calculation gives -0.156 eV/atom. Its space-group type is I4/m, No. 87.

Cell: 7.195 7.195 7.195 Å, 96.96 96.96 139.25°
Element x y z (fractional)
Ba: 0.000 0.000 0.000
Li: 0.222 0.340 0.562
Li: 0.340 0.778 0.117
Li: 0.660 0.222 0.883
Li: 0.778 0.660 0.438
Cd: 0.102 0.615 0.717
Cd: 0.385 0.102 0.487
Cd: 0.615 0.898 0.513
Cd: 0.898 0.385 0.283



5.
Density functional theory data (GGA-PBE) for an optimized crystal structure of Ba3Li7Cd2.

Properties
Its calculated density is 3.0 g cm⁻³. For the energy of formation from the pure elements, the calculation gives -0.029 eV/atom. Its space-group type is Cmmm, No. 65.

Cell: 13.952 13.952 5.263 Å, 90.00 90.00 158.02°
Element x y z (fractional)
Ba: 0.000 0.000 0.000
Ba: 0.176 0.824 0.000
Ba: 0.824 0.176 0.000
Li: 0.084 0.916 0.500
Li: 0.286 0.714 0.500
Li: 0.416 0.584 0.000
Li: 0.500 0.500 0.500
Li: 0.584 0.416 0.000
Li: 0.714 0.286 0.500
Li: 0.916 0.084 0.500
Cd: 0.390 0.610 0.500
Cd: 0.610 0.390 0.500



6.
Density functional theory data (GGA-PBE) for an optimized crystal structure of Ba3Li2Cd7.

Properties
Its calculated density is 5.9 g cm⁻³. For the energy of formation from the pure elements, the calculation gives -0.275 eV/atom. Its space-group type is R-3m, No. 166.

Cell: 10.332 10.332 10.332 Å, 35.94 35.94 35.94°
Element x y z (fractional)
Ba: 0.000 0.000 0.000
Ba: 0.144 0.144 0.144
Ba: 0.856 0.856 0.856
Li: 0.331 0.331 0.331
Li: 0.669 0.669 0.669
Cd: 0.083 0.575 0.575
Cd: 0.425 0.425 0.917
Cd: 0.425 0.917 0.425
Cd: 0.500 0.500 0.500
Cd: 0.575 0.083 0.575
Cd: 0.575 0.575 0.083
Cd: 0.917 0.425 0.425



7.
Density functional theory data (GGA-PBE) for an optimized crystal structure of BaLiCd2.

Properties
Its calculated density is 4.9 g cm⁻³. For the energy of formation from the pure elements, the calculation gives -0.260 eV/atom. Its space-group type is C2/m, No. 12.

Cell: 4.957 4.957 6.562 Å, 112.45 112.45 60.11°
Element x y z (fractional)
Ba: 0.000 0.000 0.000
Li: 0.500 0.500 0.500
Cd: 0.199 0.199 0.595
Cd: 0.801 0.801 0.405



8.
Density functional theory data (GGA-PBE) for an optimized crystal structure of Ba8Li2Cd.

Properties
Its calculated density is 3.7 g cm⁻³. For the energy of formation from the pure elements, the calculation gives 0.035 eV/atom. Its space-group type is Immm, No. 71.

Cell: 10.297 10.297 10.297 Å, 144.56 117.30 74.13°
Element x y z (fractional)
Ba: 0.123 0.347 0.776
Ba: 0.126 0.126 0.000
Ba: 0.328 0.000 0.328
Ba: 0.429 0.653 0.776
Ba: 0.571 0.347 0.224
Ba: 0.672 0.000 0.672
Ba: 0.874 0.874 0.000
Ba: 0.877 0.653 0.224
Li: 0.299 0.799 0.500
Li: 0.701 0.201 0.500
Cd: 0.000 0.500 0.500



9.
Density functional theory data (GGA-PBE) for an optimized crystal structure of Ba2LiCd.

Properties
Its calculated density is 4.2 g cm⁻³. For the energy of formation from the pure elements, the calculation gives -0.112 eV/atom. Its space-group type is Imm2, No. 44.

Cell: 7.145 7.145 7.145 Å, 145.75 129.96 62.04°
Element x y z (fractional)
Ba: 0.000 0.000 0.000
Ba: 0.699 0.199 0.500
Li: 0.287 0.787 0.500
Cd: 0.448 0.448 0.000



10.
Density functional theory data (GGA-PBE) for an optimized crystal structure of BaLi4Cd.

Properties
Its calculated density is 3.1 g cm⁻³. For the energy of formation from the pure elements, the calculation gives -0.069 eV/atom. Its space-group type is F-43m, No. 216.

Cell: 5.950 5.950 5.950 Å, 60.00 60.00 60.00°
Element x y z (fractional)
Ba: 0.000 0.000 0.000
Li: 0.136 0.621 0.621
Li: 0.621 0.136 0.621
Li: 0.621 0.621 0.136
Li: 0.621 0.621 0.621
Cd: 0.250 0.250 0.250



11.
Density functional theory data (GGA-PBE) for an optimized crystal structure of Ba6LiCd2.

Properties
Its calculated density is 4.0 g cm⁻³. For the energy of formation from the pure elements, the calculation gives -0.107 eV/atom. Its space-group type is Immm, No. 71.

Cell: 10.493 10.493 10.493 Å, 111.83 111.16 105.50°
Element x y z (fractional)
Ba: 0.022 0.830 0.192
Ba: 0.249 0.555 0.306
Ba: 0.249 0.943 0.694
Ba: 0.273 0.321 0.594
Ba: 0.273 0.679 0.953
Ba: 0.362 0.170 0.192
Ba: 0.638 0.830 0.808
Ba: 0.727 0.321 0.047
Ba: 0.727 0.679 0.406
Ba: 0.751 0.057 0.306
Ba: 0.751 0.445 0.694
Ba: 0.978 0.170 0.808
Li: 0.000 0.500 0.500
Li: 0.500 0.000 0.500
Cd: 0.000 0.168 0.168
Cd: 0.000 0.832 0.832
Cd: 0.382 0.382 0.000
Cd: 0.618 0.618 0.000



12.
Density functional theory data (GGA-PBE) for an optimized crystal structure of BaLiCd3.

Properties
Its calculated density is 5.6 g cm⁻³. For the energy of formation from the pure elements, the calculation gives -0.215 eV/atom. Its space-group type is Imma, No. 74.

Cell: 7.404 7.404 7.404 Å, 123.29 91.04 115.65°
Element x y z (fractional)
Ba: 0.332 0.082 0.250
Ba: 0.668 0.918 0.750
Li: 0.000 0.500 0.500
Li: 0.500 0.500 0.000
Cd: 0.171 0.421 0.750
Cd: 0.202 0.000 0.702
Cd: 0.202 0.500 0.202
Cd: 0.798 0.000 0.298
Cd: 0.798 0.500 0.798
Cd: 0.829 0.579 0.250



Which formula does entry 3 have? BaLi2Cd